#a
## K2WBr (PBE)

Data for a geometry-optimized K2WBr structure.

Cell and atoms, written as POSCAR:
```
K2WBr
1.0
2.211 1.276 9.375
-2.211 1.276 9.375
0.000 -2.553 9.375
K W Br
2 1 1
direct
0.240 0.240 0.240
0.760 0.760 0.760
0.000 0.000 0.000
0.500 0.500 0.500
```

Summary:
Magnetic moment, μB/cell: 5.0

***

#b
## K2WBr (PBE)

Data for a geometry-optimized K2WBr structure.

Cell and atoms, written as POSCAR:
```
K2WBr
1.0
0.000 4.171 4.171
4.171 0.000 4.171
4.171 4.171 0.000
K W Br
2 1 1
direct
0.000 0.000 0.000
0.250 0.250 0.250
0.750 0.750 0.750
0.500 0.500 0.500
```

Summary:
Magnetic moment, μB/cell: 5.0

***

#c
## K2WBr (PBE)

Data for a geometry-optimized K2WBr structure.

Cell and atoms, written as POSCAR:
```
K2WBr
1.0
3.825 0.000 0.000
0.000 3.825 0.000
0.000 0.000 10.913
K W Br
2 1 1
direct
0.000 0.000 0.000
0.500 0.500 0.413
0.000 0.000 0.631
0.500 0.500 0.851
```

Summary:
Magnetic moment, μB/cell: 4.6

***

The most stable arrangement is #a, and the next structure is 0.225 eV/atom less stable.